Record 1
Here is crystalline K2SnHI5 at its relaxed geometry from the Alexandria database. Energies are from GGA-PBE.

a b c (Å): 4.7910 10.7900 14.3345
angles (deg): 90.00 90.00 102.83
Element x y z (fractional)
I 0.6857 0.3714 0.8656
H 0.4820 0.9639 0.3944
I 0.3143 0.6286 0.3656
Sn 0.1809 0.3618 0.0209
I 0.4925 0.9851 0.7854
I 0.6979 0.3959 0.1718
I 0.3431 0.6863 0.0177
I 0.3021 0.6041 0.6718
I 0.5075 0.0149 0.2854
K 0.1419 0.2837 0.3430
I 0.9620 0.9241 0.5373
I 0.0380 0.0759 0.0373
I 0.6569 0.3137 0.5177
Sn 0.8191 0.6382 0.5209
K 0.1239 0.2478 0.6879
H 0.5180 0.0361 0.8944
K 0.8761 0.7522 0.1879
K 0.8581 0.7163 0.8430

Computed properties:
Its symmetry is Cmc2_1 (36). Its spin magnetization is 0.00 μB per cell. As for the final energy: -2.721 eV per atom.

Record 2
Here is crystalline KSrH2I at its relaxed geometry from the Alexandria database. Energies are from GGA-PBE.

a b c (Å): 4.8655 4.8655 6.6733
angles (deg): 90.00 90.00 90.00
Element x y z (fractional)
H 0.0000 0.5000 0.0000
H 0.5000 0.0000 0.0000
Sr 0.0000 0.0000 0.0000
I 0.0000 0.0000 0.5000
K 0.5000 0.5000 0.5000

Computed properties:
Its symmetry is P4/mmm (123). Its spin magnetization is 0.00 μB per cell. As for the final energy: -2.913 eV per atom.